DFT (PBE-GGA) results for a relaxed structure of TiMnCr2Pd.

The total magnetic moment is 0.19 μB/cell. The total energy comes out at -32.084 eV per cell.

The space group is P4/mmm (No. 123) and the conventional cell measures 4.456, 4.456 and 4.620 Å, with angles of 90.00, 90.00 and 90.00 degrees. Symmetry generates all atoms from Ti at (0.000, 0.000, 0.000), Mn at (0.500, 0.500, 0.000), Cr at (0.000, 0.500, 0.500) and Pd at (0.000, 0.000, 0.500).